1.
PmGe2Ir2: relaxed, GGA-PBE.

Lattice parameters (Å, degrees): 4.269 4.269 10.136 90.00 90.00 90.00
Fractional coordinates of all 10 atoms:
1 Ge 0.000 0.000 0.000
2 Ge 0.500 0.500 0.000
3 Ge 0.500 0.000 0.368
4 Ge 0.000 0.500 0.632
5 Ir 0.500 0.000 0.128
6 Ir 0.000 0.000 0.500
7 Ir 0.500 0.500 0.500
8 Ir 0.000 0.500 0.872
9 Pm 0.000 0.500 0.245
10 Pm 0.500 0.000 0.755

**Total moment**: 0.00 μB/cell
**Mass density**: 12129 kg/m³

***

2.
Pm3Ge7Ir2: relaxed, GGA-PBE.

Lattice parameters (Å, degrees): 4.363 4.338 13.196 90.00 99.52 90.00
Fractional coordinates of all 12 atoms:
1 Ge 0.000 0.000 0.000
2 Ge 0.586 0.000 0.171
3 Ge 0.087 0.500 0.171
4 Ge 0.723 0.500 0.447
5 Ge 0.277 0.500 0.553
6 Ge 0.913 0.500 0.829
7 Ge 0.414 0.000 0.829
8 Ir 0.631 0.500 0.261
9 Ir 0.369 0.500 0.739
10 Pm 0.500 0.500 0.000
11 Pm 0.183 0.000 0.366
12 Pm 0.817 0.000 0.634

**Total moment**: 0.00 μB/cell
**Mass density**: 8950 kg/m³

***

3.
PmGeIr: relaxed, GGA-PBE.

Lattice parameters (Å, degrees): 4.599 4.599 4.599 60.00 60.00 60.00
Fractional coordinates of all 3 atoms:
1 Ge 0.750 0.750 0.750
2 Ir 0.000 0.000 0.000
3 Pm 0.250 0.250 0.250

**Total moment**: 0.05 μB/cell
**Mass density**: 9896 kg/m³
**Energy above the most stable polymorph in this dataset**: 370 meV/atom

***

4.
Pm4GeIr3: relaxed, GGA-PBE.

Lattice parameters (Å, degrees): 4.131 4.245 10.754 90.00 90.00 90.00
Fractional coordinates of all 8 atoms:
1 Ge 0.000 0.500 0.070
2 Ir 0.500 0.000 0.419
3 Ir 0.500 0.500 0.577
4 Ir 0.000 0.000 0.930
5 Pm 0.500 0.000 0.144
6 Pm 0.000 0.500 0.363
7 Pm 0.000 0.000 0.645
8 Pm 0.500 0.500 0.853

**Total moment**: 0.00 μB/cell
**Mass density**: 10825 kg/m³

***

5.
PmGeIr: relaxed, GGA-PBE.

Lattice parameters (Å, degrees): 7.116 4.426 7.577 90.00 90.00 90.00
Fractional coordinates of all 12 atoms:
1 Ge 0.300 0.250 0.104
2 Ge 0.800 0.250 0.396
3 Ge 0.200 0.750 0.604
4 Ge 0.700 0.750 0.896
5 Ir 0.661 0.250 0.072
6 Ir 0.161 0.250 0.428
7 Ir 0.839 0.750 0.572
8 Ir 0.339 0.750 0.928
9 Pm 0.006 0.750 0.190
10 Pm 0.506 0.750 0.310
11 Pm 0.494 0.250 0.690
12 Pm 0.994 0.250 0.810

**Total moment**: 0.00 μB/cell
**Mass density**: 11408 kg/m³
**Energy above the most stable polymorph in this dataset**: 0 meV/atom

***

6.
Pm3Ge4Ir2: relaxed, GGA-PBE.

Lattice parameters (Å, degrees): 5.975 5.975 8.359 107.79 107.79 42.56
Fractional coordinates of all 9 atoms:
1 Ge 0.906 0.906 0.103
2 Ge 0.290 0.290 0.423
3 Ge 0.710 0.710 0.577
4 Ge 0.094 0.094 0.897
5 Ir 0.308 0.308 0.133
6 Ir 0.692 0.692 0.867
7 Pm 0.621 0.621 0.197
8 Pm 0.000 0.000 0.500
9 Pm 0.379 0.379 0.803

**Total moment**: 0.01 μB/cell
**Mass density**: 9668 kg/m³

***

7.
PrGe4Ir6: relaxed, GGA-PBE.

Lattice parameters (Å, degrees): 7.226 7.226 3.951 90.00 90.00 120.00
Fractional coordinates of all 11 atoms:
1 Ge 0.333 0.667 0.000
2 Ge 0.392 0.196 0.500
3 Ge 0.804 0.196 0.500
4 Ge 0.804 0.608 0.500
5 Ir 0.534 0.067 0.000
6 Ir 0.534 0.466 0.000
7 Ir 0.933 0.466 0.000
8 Ir 0.200 0.401 0.500
9 Ir 0.200 0.800 0.500
10 Ir 0.599 0.800 0.500
11 Pr 0.000 0.000 0.000

**Total moment**: 0.00 μB/cell
**Mass density**: 14731 kg/m³

***

8.
Pr2Ge5Ir3: relaxed, GGA-PBE.

Lattice parameters (Å, degrees): 8.474 8.474 6.133 110.83 110.83 90.33
Fractional coordinates of all 20 atoms:
1 Ge 0.260 0.060 0.163
2 Ge 0.778 0.222 0.250
3 Ge 0.496 0.504 0.250
4 Ge 0.228 0.772 0.250
5 Ge 0.940 0.740 0.337
6 Ge 0.060 0.260 0.663
7 Ge 0.772 0.228 0.750
8 Ge 0.504 0.496 0.750
9 Ge 0.222 0.778 0.750
10 Ge 0.740 0.940 0.837
11 Ir 0.750 0.468 0.114
12 Ir 0.998 0.002 0.250
13 Ir 0.532 0.250 0.386
14 Ir 0.468 0.750 0.614
15 Ir 0.002 0.998 0.750
16 Ir 0.250 0.532 0.886
17 Pr 0.597 0.863 0.229
18 Pr 0.137 0.403 0.271
19 Pr 0.863 0.597 0.729
20 Pr 0.403 0.137 0.771

**Total moment**: 0.01 μB/cell
**Mass density**: 10667 kg/m³

***

Table of DFT total energy (eV per atom), in record order: -7.12, -6.03, -6.56, -6.99, -6.93, -6.43, -7.44, -6.67